# CaScV2H

An optimized crystal structure of CaScV2H (PBE-GGA, the Alexandria database).

Results
- density (g/cm³) = 2.56
- volume (Å³/atom) = 24.39
- calculated total energy (eV per atom) = -3.583

abc: 4.7480 5.4089 4.7480
angles: 90.00 90.00 90.00
Last column: magnetic moment on the atom in μB.
Sites, in units of the cell vectors:
1 Sc 0.0000 0.5000 0.0000  -0.31
2 H 0.5000 0.5000 0.5000  -0.02
3 Ca 0.0000 0.0000 0.0000  0.15
4 V 0.0000 0.0000 0.5000  1.92
5 V 0.5000 0.0000 0.0000  2.19


# Pu2SO2

An optimized crystal structure of Pu2SO2 (PBE-GGA, the Alexandria database).

Results
- density (g/cm³) = 10.64
- volume (Å³/atom) = 17.24
- calculated total energy (eV per atom) = -11.258
- ΔE_f (raw) (eV per formula unit) = -13.58

abc: 3.8667 3.8667 6.6568
angles: 90.00 90.00 120.00
Last column: magnetic moment on the atom in μB.
Sites, in units of the cell vectors:
1 Pu 0.6667 0.3333 0.7246  4.98
2 Pu 0.3333 0.6667 0.2754  4.98
3 S 0.0000 0.0000 0.0000  -0.13
4 O 0.3333 0.6667 0.6289  -0.11
5 O 0.6667 0.3333 0.3711  -0.11


# PuZnSbPd

An optimized crystal structure of PuZnSbPd (PBE-GGA, the Alexandria database).

Results
- density (g/cm³) = 10.71
- volume (Å³/atom) = 20.83
- calculated total energy (eV per atom) = -6.554
- ΔE_f (raw) (eV per formula unit) = -1.30

abc: 4.9027 4.9027 4.9027
angles: 60.00 60.00 60.00
Last column: magnetic moment on the atom in μB.
Sites, in units of the cell vectors:
1 Sb 0.5000 0.5000 0.5000  -0.03
2 Zn 0.0000 0.0000 0.0000  0.01
3 Pd 0.2500 0.2500 0.2500  0.05
4 Pu 0.7500 0.7500 0.7500  5.24


# KAlOs2

An optimized crystal structure of KAlOs2 (PBE-GGA, the Alexandria database).

Results
- energy relative to the elements (eV/atom) = 1.203
- density (g/cm³) = 10.65
- volume (Å³/atom) = 17.41
- calculated total energy (eV per atom) = -5.622

abc: 5.4852 5.4852 2.5737
angles: 90.00 90.00 115.92
Sites, in units of the cell vectors:
1 K 0.0000 0.5000 0.5000
2 Os 0.0000 0.0000 0.0000
3 Os 0.5000 0.5000 0.0000
4 Al 0.5000 0.0000 0.5000


# Tl2GeAu2

An optimized crystal structure of Tl2GeAu2 (PBE-GGA, the Alexandria database).

Results
- energy relative to the elements (eV/atom) = 0.182
- density (g/cm³) = 11.67
- volume (Å³/atom) = 24.90
- calculated total energy (eV per atom) = -2.999

abc: 3.8422 3.8422 8.8610
angles: 77.48 77.48 90.00
Sites, in units of the cell vectors:
1 Tl 0.3971 0.3971 0.2059
2 Tl 0.6029 0.6029 0.7941
3 Au 0.7500 0.2500 0.5000
4 Au 0.2500 0.7500 0.5000
5 Ge 0.0000 0.0000 0.0000


# LiTaW2

An optimized crystal structure of LiTaW2 (PBE-GGA, the Alexandria database).

Results
- energy relative to the elements (eV/atom) = 0.425
- density (g/cm³) = 14.12
- volume (Å³/atom) = 16.33
- calculated total energy (eV per atom) = -9.493

abc: 4.8116 4.8116 5.3633
angles: 86.82 86.82 31.80
Sites, in units of the cell vectors:
1 Li 0.5010 0.5010 0.4988
2 Ta 0.7505 0.7505 0.7427
3 W 0.0004 0.0004 0.0094
4 W 0.2481 0.2481 0.2491


# PrHg2Au

An optimized crystal structure of PrHg2Au (PBE-GGA, the Alexandria database).

Results
- energy relative to the elements (eV/atom) = -0.468
- density (g/cm³) = 12.72
- volume (Å³/atom) = 24.12
- calculated total energy (eV per atom) = -2.634

abc: 5.1454 5.1454 5.1514
angles: 60.04 60.04 60.00
Sites, in units of the cell vectors:
1 Pr 0.7174 0.7174 0.8478
2 Hg 0.2171 0.2171 0.3487
3 Hg 0.9671 0.9671 0.0987
4 Au 0.4676 0.4676 0.5973


# MgCdCl2

An optimized crystal structure of MgCdCl2 (PBE-GGA, the Alexandria database).

Results
- density (g/cm³) = 2.51
- volume (Å³/atom) = 34.35
- calculated total energy (eV per atom) = -2.670
- ΔE_f (raw) (eV per formula unit) = -4.48

abc: 7.3160 7.3160 6.4656
angles: 59.88 59.88 27.63
Sites, in units of the cell vectors:
1 Cd 0.7520 0.7520 0.6997
2 Cl 0.9719 0.9719 0.2372
3 Cl 0.1776 0.1776 0.3453
4 Mg 0.5985 0.5985 0.2178